VASP calculation (PBE) on ThU2SiN5 after structural relaxation.

Cell lengths 5.5354, 6.4527, 6.4527 Å; angles 90.00, 90.00, 90.00 degrees
With the nearest neighbours (Å) after each atom.
Atoms (fractional coordinates):
Th1 0.0000 0.5000 0.5000  10 N 2.77-2.79
Th2 0.0000 0.0000 0.0000  10 N 2.77-2.79
U1 0.5000 0.6703 0.1703  4 N 2.24-2.39
U2 0.5000 0.1703 0.3297  4 N 2.24-2.39
U3 0.5000 0.8297 0.6703  4 N 2.24-2.39
U4 0.5000 0.3297 0.8297  4 N 2.24-2.39
Si1 0.0000 0.0000 0.5000  4 N 1.85
Si2 0.0000 0.5000 0.0000  4 N 1.85
N1 0.5000 0.5000 0.5000  4 U 2.39
N2 0.5000 0.0000 0.0000  4 U 2.39
N3 0.2333 0.1450 0.6450  1 Si 1.85
N4 0.2333 0.8550 0.3550  1 Si 1.85
N5 0.2333 0.3550 0.1450  1 Si 1.85
N6 0.2333 0.6450 0.8550  1 Si 1.85
N7 0.7667 0.1450 0.6450  1 Si 1.85
N8 0.7667 0.6450 0.8550  1 Si 1.85
N9 0.7667 0.8550 0.3550  1 Si 1.85
N10 0.7667 0.3550 0.1450  1 Si 1.85


VASP calculation (PBE) on Ti4SiN2 after structural relaxation.

Cell lengths 3.1619, 5.3195, 10.6653 Å; angles 90.00, 90.00, 107.29 degrees
With the nearest neighbours (Å) after each atom.
Atoms (fractional coordinates):
Ti1 0.7620 0.5240 0.1053  3 N 2.07-2.10
Ti2 0.7620 0.5240 0.3947  3 N 2.07-2.10
Ti3 0.2380 0.4760 0.8947  3 N 2.07-2.10
Ti4 0.2380 0.4760 0.6053  3 N 2.07-2.10
Ti5 0.9184 0.8369 0.7500  2 N 2.08
Ti6 0.0816 0.1631 0.2500  2 N 2.08
Ti7 0.5000 0.0000 0.0000  4 N 2.19
Ti8 0.5000 0.0000 0.5000  4 N 2.19
Si1 0.6100 0.2201 0.7500  6 Ti 2.51-2.56
Si2 0.3900 0.7799 0.2500  6 Ti 2.51-2.56
N1 0.1343 0.2685 0.4384  6 Ti 2.07-2.19
N2 0.8657 0.7315 0.9384  6 Ti 2.07-2.19
N3 0.1343 0.2685 0.0616  6 Ti 2.07-2.19
N4 0.8657 0.7315 0.5616  6 Ti 2.07-2.19


VASP calculation (PBE) on TiSiN3 after structural relaxation.

Cell lengths 3.5438, 3.5438, 3.5438 Å; angles 90.00, 90.00, 90.00 degrees
With the nearest neighbours (Å) after each atom.
Atoms (fractional coordinates):
Si1 0.0000 0.0000 0.0000  6 N 1.77
N1 0.0000 0.5000 0.0000  2 Si 1.77
N2 0.0000 0.0000 0.5000  2 Si 1.77
N3 0.5000 0.0000 0.0000  2 Si 1.77
Ti1 0.5000 0.5000 0.5000  12 N 2.51


VASP calculation (PBE) on Ti3SiN after structural relaxation.

Cell lengths 4.0842, 4.0842, 4.0842 Å; angles 90.00, 90.00, 90.00 degrees
With the nearest neighbours (Å) after each atom.
Atoms (fractional coordinates):
Si1 0.5000 0.5000 0.5000  12 Ti 2.89
N1 0.0000 0.0000 0.0000  6 Ti 2.04
Ti1 0.0000 0.5000 0.0000  2 N 2.04
Ti2 0.0000 0.0000 0.5000  2 N 2.04
Ti3 0.5000 0.0000 0.0000  2 N 2.04


VASP calculation (PBE) on TiSiN3 after structural relaxation.

Cell lengths 3.9280, 3.9280, 3.9280 Å; angles 90.00, 90.00, 90.00 degrees
With the nearest neighbours (Å) after each atom.
Atoms (fractional coordinates):
Si1 0.5000 0.5000 0.5000  12 N 2.78
N1 0.0000 0.5000 0.0000  2 Ti 1.96
N2 0.0000 0.0000 0.5000  2 Ti 1.96
N3 0.5000 0.0000 0.0000  2 Ti 1.96
Ti1 0.0000 0.0000 0.0000  6 N 1.96


VASP calculation (PBE) on TiSi2N after structural relaxation.

Cell lengths 5.7530, 5.7530, 5.2331 Å; angles 56.66, 56.66, 90.00 degrees
With the nearest neighbours (Å) after each atom.
Atoms (fractional coordinates):
Si1 0.5291 0.1250 0.2500  2 N 1.88
Si2 0.2209 0.6250 0.2500  2 N 1.88
Si3 0.3750 0.4709 0.7500  2 N 1.88
Si4 0.8750 0.7791 0.7500  2 N 1.88
N1 0.5000 0.5000 0.0000  4 Si 1.88
N2 0.2500 0.7500 0.5000  4 Si 1.88
Ti1 0.0000 0.0000 0.0000  4 Si 2.59
Ti2 0.7500 0.2500 0.5000  4 Si 2.59


VASP calculation (PBE) on Ti3SiN after structural relaxation.

Cell lengths 3.2500, 7.0603, 6.9030 Å; angles 79.32, 90.00, 103.31 degrees
With the nearest neighbours (Å) after each atom.
Atoms (fractional coordinates):
Ti1 0.0517 0.1034 0.1544  2 N 1.98-2.06
Ti2 0.9483 0.8966 0.8456  2 N 1.98-2.06
Ti3 0.6860 0.3721 0.8866  2 N 2.12
Ti4 0.3140 0.6279 0.1134  2 N 2.12
Ti5 0.8386 0.6773 0.4378  1 N 2.04
Ti6 0.1614 0.3227 0.5622  1 N 2.04
Si1 0.3275 0.6550 0.7270  8 Ti 2.56-2.74
Si2 0.6725 0.3450 0.2730  8 Ti 2.56-2.74
N1 0.0920 0.1839 0.8509  5 Ti 1.98-2.12
N2 0.9080 0.8161 0.1491  5 Ti 1.98-2.12


VASP calculation (PBE) on Ti4SiN after structural relaxation.

Cell lengths 5.5898, 5.6863, 5.4806 Å; angles 90.00, 94.78, 90.00 degrees
With the nearest neighbours (Å) after each atom.
Atoms (fractional coordinates):
Ti1 0.9004 0.6265 0.1693  1 N 1.99
Ti2 0.5996 0.1265 0.8307  1 N 1.99
Ti3 0.3222 0.3332 0.3944  2 N 2.16-2.19
Ti4 0.1778 0.8332 0.6056  2 N 2.16-2.19
Ti5 0.0996 0.3735 0.8307  1 N 1.99
Ti6 0.4004 0.8735 0.1693  1 N 1.99
Ti7 0.6778 0.6668 0.6056  2 N 2.16-2.19
Ti8 0.8222 0.1668 0.3944  2 N 2.16-2.19
Si1 0.0000 0.0000 0.0000  6 Ti 2.40-2.63
Si2 0.5000 0.5000 0.0000  6 Ti 2.40-2.63
N1 0.5000 0.0000 0.5000  6 Ti 1.99-2.19
N2 0.0000 0.5000 0.5000  6 Ti 1.99-2.19


VASP calculation (PBE) on Ti6SiN4 after structural relaxation.

Cell lengths 3.0855, 5.3046, 15.8204 Å; angles 90.00, 90.00, 106.91 degrees
With the nearest neighbours (Å) after each atom.
Atoms (fractional coordinates):
Ti1 0.5000 0.0000 0.0000  6 N 2.13-2.18
Ti2 0.5000 0.0000 0.5000  6 N 2.13-2.18
Ti3 0.0401 0.0801 0.3509  3 N 2.01-2.08
Ti4 0.9599 0.9199 0.6491  3 N 2.01-2.08
Ti5 0.9599 0.9199 0.8509  3 N 2.01-2.08
Ti6 0.0401 0.0801 0.1491  3 N 2.01-2.08
Ti7 0.7776 0.5553 0.4192  5 N 2.07-2.19
Ti8 0.2224 0.4447 0.5808  5 N 2.07-2.19
Ti9 0.2224 0.4447 0.9192  5 N 2.07-2.19
Ti10 0.7776 0.5553 0.0808  5 N 2.07-2.19
Ti11 0.3597 0.7194 0.2500  2 N 2.09
Ti12 0.6403 0.2806 0.7500  2 N 2.09
Si1 0.6649 0.3297 0.2500  6 Ti 2.51-2.56
Si2 0.3351 0.6703 0.7500  6 Ti 2.51-2.56
N1 0.8612 0.7225 0.5388  6 Ti 2.01-2.19
N2 0.4098 0.8195 0.1216  6 Ti 2.08-2.14
N3 0.1388 0.2775 0.4612  6 Ti 2.01-2.19
N4 0.5902 0.1805 0.8784  6 Ti 2.08-2.14
N5 0.8612 0.7225 0.9612  6 Ti 2.01-2.19
N6 0.1388 0.2775 0.0388  6 Ti 2.01-2.19
N7 0.5902 0.1805 0.6216  6 Ti 2.08-2.14
N8 0.4098 0.8195 0.3784  6 Ti 2.08-2.14


VASP calculation (PBE) on Y2TiSiN after structural relaxation.

Cell lengths 4.7972, 4.7972, 4.0437 Å; angles 90.00, 90.00, 90.00 degrees
With the nearest neighbours (Å) after each atom.
Atoms (fractional coordinates):
Y1 0.0000 0.5000 0.0000  2 N 2.40
Y2 0.5000 0.0000 0.0000  2 N 2.40
Si1 0.5000 0.5000 0.5000  8 Y 3.14, 4 Ti 3.39
N1 0.0000 0.0000 0.0000  2 Ti 2.02
Ti1 0.0000 0.0000 0.5000  2 N 2.02


VASP calculation (PBE) on Tl3SiN after structural relaxation.

Cell lengths 4.9099, 4.9099, 4.9099 Å; angles 90.00, 90.00, 90.00 degrees
With the nearest neighbours (Å) after each atom.
Atoms (fractional coordinates):
Tl1 0.0000 0.5000 0.0000  2 N 2.45
Tl2 0.0000 0.0000 0.5000  2 N 2.45
Tl3 0.5000 0.0000 0.0000  2 N 2.45
Si1 0.5000 0.5000 0.5000  12 Tl 3.47
N1 0.0000 0.0000 0.0000  6 Tl 2.45

Computed properties:
**Excess energy over the best structure of this formula in the dataset**: 0 meV/atom


VASP calculation (PBE) on TmSiN after structural relaxation.

Cell lengths 3.3220, 3.3220, 10.3374 Å; angles 90.00, 90.00, 120.00 degrees
With the nearest neighbours (Å) after each atom.
Atoms (fractional coordinates):
Tm1 0.6667 0.3333 0.2174  3 N 2.25
Tm2 0.6667 0.3333 0.6807  3 N 2.25
Si1 0.6667 0.3333 0.9491  6 N 2.49, 2 Tm 2.77
Si2 0.3333 0.6667 0.4491  6 Tm 3.07, 6 Si 3.32
N1 0.3333 0.6667 0.1031  3 Tm 2.25, 3 Si 2.49
N2 0.3333 0.6667 0.7951  3 Tm 2.25, 3 Si 2.49


VASP calculation (PBE) on Tm12Si3N5 after structural relaxation.

Cell lengths 12.9362, 12.9362, 12.9362 Å; angles 109.47, 109.47, 109.47 degrees
With the nearest neighbours (Å) after each atom.
Atoms (fractional coordinates):
Si1 0.7500 0.3750 0.1250  8 Tm 2.91-2.99
Si2 0.8750 0.7500 0.1250  8 Tm 2.91-2.99
Si3 0.3750 0.7500 0.6250  8 Tm 2.91-2.99
Si4 0.2500 0.1250 0.3750  8 Tm 2.91-2.99
Si5 0.8750 0.1250 0.2500  8 Tm 2.91-2.99
Si6 0.3750 0.6250 0.2500  8 Tm 2.91-2.99
Si7 0.6250 0.3750 0.7500  8 Tm 2.91-2.99
Si8 0.1250 0.8750 0.7500  8 Tm 2.91-2.99
Si9 0.7500 0.8750 0.6250  8 Tm 2.91-2.99
Si10 0.6250 0.2500 0.3750  8 Tm 2.91-2.99
Si11 0.1250 0.2500 0.8750  8 Tm 2.91-2.99
Si12 0.2500 0.6250 0.8750  8 Tm 2.91-2.99
Tm1 0.7041 0.1166 0.0208  2 N 2.18-2.43
Tm2 0.3167 0.5208 0.4042  2 N 2.18-2.43
Tm3 0.9792 0.3834 0.2959  2 N 2.18-2.43
Tm4 0.5208 0.2041 0.1166  2 N 2.18-2.43
Tm5 0.5874 0.7041 0.6833  2 N 2.18-2.43
Tm6 0.9792 0.5958 0.1833  2 N 2.18-2.43
Tm7 0.3167 0.7959 0.4126  2 N 2.18-2.43
Tm8 0.0958 0.9126 0.1166  2 N 2.18-2.43
Tm9 0.5958 0.9792 0.6833  2 N 2.18-2.43
Tm10 0.7041 0.5874 0.1833  2 N 2.18-2.43
Tm11 0.7959 0.4792 0.3834  2 N 2.18-2.43
Tm12 0.8167 0.9042 0.0208  2 N 2.18-2.43
Tm13 0.1166 0.7041 0.5208  2 N 2.18-2.43
Tm14 0.3834 0.4042 0.0874  2 N 2.18-2.43
Tm15 0.0874 0.9042 0.3834  2 N 2.18-2.43
Tm16 0.4126 0.1166 0.5958  2 N 2.18-2.43
Tm17 0.0874 0.1833 0.2041  2 N 2.18-2.43
Tm18 0.4792 0.6833 0.0958  2 N 2.18-2.43
Tm19 0.8167 0.9126 0.2959  2 N 2.18-2.43
Tm20 0.1166 0.4126 0.0958  2 N 2.18-2.43
Tm21 0.3834 0.9792 0.7959  2 N 2.18-2.43
Tm22 0.5958 0.6166 0.4126  2 N 2.18-2.43
Tm23 0.9042 0.8167 0.5208  2 N 2.18-2.43
Tm24 0.7959 0.3167 0.9126  2 N 2.18-2.43
Tm25 0.4042 0.3834 0.5874  2 N 2.18-2.43
Tm26 0.0958 0.1833 0.4792  2 N 2.18-2.43
Tm27 0.2041 0.6833 0.0874  2 N 2.18-2.43
Tm28 0.1833 0.0874 0.7041  2 N 2.18-2.43
Tm29 0.6166 0.0208 0.2041  2 N 2.18-2.43
Tm30 0.8834 0.5874 0.9042  2 N 2.18-2.43
Tm31 0.5208 0.3167 0.9042  2 N 2.18-2.43
Tm32 0.5874 0.8834 0.4042  2 N 2.18-2.43
Tm33 0.9126 0.8167 0.7959  2 N 2.18-2.43
Tm34 0.9126 0.0958 0.6166  2 N 2.18-2.43
Tm35 0.8834 0.2959 0.4792  2 N 2.18-2.43
Tm36 0.1833 0.0958 0.9792  2 N 2.18-2.43
Tm37 0.6166 0.5958 0.9126  2 N 2.18-2.43
Tm38 0.4042 0.0208 0.3167  2 N 2.18-2.43
Tm39 0.2959 0.4126 0.8167  2 N 2.18-2.43
Tm40 0.2041 0.5208 0.6166  2 N 2.18-2.43
Tm41 0.9042 0.0874 0.8834  2 N 2.18-2.43
Tm42 0.6833 0.2041 0.5874  2 N 2.18-2.43
Tm43 0.4792 0.7959 0.8834  2 N 2.18-2.43
Tm44 0.0208 0.4042 0.8167  2 N 2.18-2.43
Tm45 0.4126 0.2959 0.3167  2 N 2.18-2.43
Tm46 0.0208 0.6166 0.7041  2 N 2.18-2.43
Tm47 0.6833 0.4792 0.5958  2 N 2.18-2.43
Tm48 0.2959 0.8834 0.9792  2 N 2.18-2.43
N1 0.1250 0.3750 0.2500  4 Tm 2.18
N2 0.0000 0.5000 0.0000  6 Tm 2.43
N3 0.0000 0.0000 0.0000  6 Tm 2.43
N4 0.3750 0.2500 0.1250  4 Tm 2.18
N5 0.5000 0.0000 0.5000  6 Tm 2.43
N6 0.5000 0.5000 0.0000  6 Tm 2.43
N7 0.1250 0.7500 0.3750  4 Tm 2.18
N8 0.7500 0.1250 0.8750  4 Tm 2.18
N9 0.7500 0.6250 0.3750  4 Tm 2.18
N10 0.3750 0.1250 0.7500  4 Tm 2.18
N11 0.6250 0.8750 0.2500  4 Tm 2.18
N12 0.5000 0.5000 0.5000  6 Tm 2.43
N13 0.5000 0.0000 0.0000  6 Tm 2.43
N14 0.0000 0.0000 0.5000  6 Tm 2.43
N15 0.2500 0.3750 0.6250  4 Tm 2.18
N16 0.2500 0.8750 0.1250  4 Tm 2.18
N17 0.0000 0.5000 0.5000  6 Tm 2.43
N18 0.8750 0.2500 0.6250  4 Tm 2.18
N19 0.6250 0.7500 0.8750  4 Tm 2.18
N20 0.8750 0.6250 0.7500  4 Tm 2.18


VASP calculation (PBE) on TmSiN2 after structural relaxation.

Cell lengths 3.5375, 3.5375, 5.9780 Å; angles 72.79, 72.79, 60.00 degrees
With the nearest neighbours (Å) after each atom.
Atoms (fractional coordinates):
Si1 0.0000 0.0000 0.0000  2 N 1.65
Tm1 0.5000 0.5000 0.5000  6 N 2.35
N1 0.0981 0.0981 0.7056  1 Si 1.65
N2 0.9019 0.9019 0.2944  1 Si 1.65


VASP calculation (PBE) on USiN after structural relaxation.

Cell lengths 3.7171, 3.7171, 9.8091 Å; angles 90.00, 90.00, 120.00 degrees
With the nearest neighbours (Å) after each atom.
Atoms (fractional coordinates):
U1 0.0000 0.0000 0.7540  3 N 2.23
U2 0.0000 0.0000 0.2460  3 N 2.23
Si1 0.3333 0.6667 0.9586  3 Si 2.29
Si2 0.6667 0.3333 0.0414  3 Si 2.29
N1 0.6667 0.3333 0.6913  3 U 2.23
N2 0.3333 0.6667 0.3087  3 U 2.23


VASP calculation (PBE) on V2Si2N after structural relaxation.

Cell lengths 5.9648, 5.9648, 3.4950 Å; angles 90.00, 90.00, 90.00 degrees
With the nearest neighbours (Å) after each atom.
Atoms (fractional coordinates):
Si1 0.3605 0.8605 0.0000  2 N 2.31, 1 Si 2.35, 6 V 2.39-2.54
Si2 0.8605 0.6395 0.0000  2 N 2.31, 1 Si 2.35, 6 V 2.39-2.54
Si3 0.6395 0.1395 0.0000  2 N 2.31, 1 Si 2.35, 6 V 2.39-2.54
Si4 0.1395 0.3605 0.0000  2 N 2.31, 1 Si 2.35, 6 V 2.39-2.54
V1 0.1679 0.6679 0.5000  6 Si 2.39-2.54
V2 0.6679 0.8321 0.5000  6 Si 2.39-2.54
V3 0.8321 0.3321 0.5000  6 Si 2.39-2.54
V4 0.3321 0.1679 0.5000  6 Si 2.39-2.54
N1 0.0000 0.0000 0.0000  4 Si 2.31
N2 0.5000 0.5000 0.0000  4 Si 2.31

Computed properties:
**Excess energy over the best structure of this formula in the dataset**: 0 meV/atom


VASP calculation (PBE) on V4Si2N after structural relaxation.

Cell lengths 2.9334, 6.5002, 8.9731 Å; angles 90.00, 90.00, 90.00 degrees
With the nearest neighbours (Å) after each atom.
Atoms (fractional coordinates):
V1 0.0000 0.6417 0.8030  1 N 1.99
V2 0.0000 0.3583 0.1970  1 N 1.99
V3 0.0000 0.1417 0.6970  1 N 1.99
V4 0.0000 0.8583 0.3030  1 N 1.99
V5 0.5000 0.8191 0.5770  2 N 2.00
V6 0.5000 0.1809 0.4230  2 N 2.00
V7 0.5000 0.6809 0.0770  2 N 2.00
V8 0.5000 0.3191 0.9230  2 N 2.00
Si1 0.5000 0.9390 0.8663  7 V 2.49-2.71, 1 Si 2.53
Si2 0.5000 0.0610 0.1337  7 V 2.49-2.71, 1 Si 2.53
Si3 0.5000 0.4390 0.6337  7 V 2.49-2.71, 1 Si 2.53
Si4 0.5000 0.5610 0.3663  7 V 2.49-2.71, 1 Si 2.53
N1 0.0000 0.0000 0.5000  6 V 1.99-2.00
N2 0.0000 0.5000 0.0000  6 V 1.99-2.00

Computed properties:
**Excess energy over the best structure of this formula in the dataset**: 0 meV/atom


VASP calculation (PBE) on V2Si2N after structural relaxation.

Cell lengths 3.2442, 3.2442, 6.7790 Å; angles 76.16, 76.16, 90.00 degrees
With the nearest neighbours (Å) after each atom.
Atoms (fractional coordinates):
Si1 0.4122 0.4122 0.1755  1 Si 2.24
Si2 0.5878 0.5878 0.8245  1 Si 2.24
V1 0.7500 0.2500 0.5000  4 V 2.29
V2 0.2500 0.7500 0.5000  4 V 2.29
N1 0.0000 0.0000 0.0000  8 Si 2.55

Computed properties:
**Excess energy over the best structure of this formula in the dataset**: 521 meV/atom


VASP calculation (PBE) on VSi3N after structural relaxation.

Cell lengths 3.9387, 3.9387, 3.9387 Å; angles 90.00, 90.00, 90.00 degrees
With the nearest neighbours (Å) after each atom.
Atoms (fractional coordinates):
Si1 0.0000 0.5000 0.0000  2 N 1.97
Si2 0.0000 0.0000 0.5000  2 N 1.97
Si3 0.5000 0.0000 0.0000  2 N 1.97
V1 0.5000 0.5000 0.5000  12 Si 2.79
N1 0.0000 0.0000 0.0000  6 Si 1.97

Computed properties:
**Excess energy over the best structure of this formula in the dataset**: 0 meV/atom


VASP calculation (PBE) on V4Si2N after structural relaxation.

Cell lengths 3.8053, 3.8053, 6.8938 Å; angles 73.98, 73.98, 90.00 degrees
With the nearest neighbours (Å) after each atom.
Atoms (fractional coordinates):
Si1 0.3562 0.3562 0.2876  9 V 2.46-2.70
Si2 0.6438 0.6438 0.7124  9 V 2.46-2.70
N1 0.0000 0.0000 0.0000  6 V 1.90-2.06
V1 0.1624 0.1624 0.6751  1 N 2.06
V2 0.8376 0.8376 0.3249  1 N 2.06
V3 0.0000 0.5000 0.0000  2 N 1.90
V4 0.5000 0.0000 0.0000  2 N 1.90

Computed properties:
**Excess energy over the best structure of this formula in the dataset**: 263 meV/atom


Computed values of formation energy (no corrections) (unit: meV per atom) for the preceding records, in sequence: -1142 -1309 -108 -928 863 -9 -839 -729 -1467 -917 924 -222 -991 -846 -519 525 -734 1046 487 -471.
Computed values of total magnetic moment (unit: μB/f.u.) for the preceding records, in sequence: 2.4 0.0 0.0 0.8 2.2 0.0 0.0 0.0 0.0 1.1 0.0 0.0 0.0 0.0 1.8 0.0 0.0 0.0 0.2 2.2.
Computed values of DOS(E_F) (unit: states/eV per atom) for the preceding records, in sequence: 0.857 0.465 0.605 1.595 0.558 0.710 0.589 0.694 0.518 0.675 0.543 0.062 0.560 0.267 1.808 0.881 0.710 0.784 0.538 0.881.